Crystalline NaGaBi3 at its relaxed geometry, computed with GGA-PBE.

```
NaGaBi3
1.0
5.597 0.000 0.000
0.000 5.597 0.000
0.000 0.000 5.597
Na Ga Bi
1 1 3
Direct
0.000 0.000 0.000
0.500 0.500 0.500
0.000 0.500 0.500
0.500 0.000 0.500
0.500 0.500 0.000
```

Its crystal system is cubic. The raw total energy is -2.93 eV/atom. As for the energy above the most stable polymorph in this dataset: 315 meV per atom. Its space group is Pm-3m. The calculation puts the size of the total moment at 0.000 μB per formula unit.